InFe2Re | PBE | relaxed

Cell lengths 2.816, 2.816, 7.077 Å; angles 90.00, 90.00, 90.00 degrees
Fractional positions:
In (0.000, 0.000, 0.000)
Fe (0.500, 0.500, 0.275)
Fe (0.500, 0.500, 0.725)
Re (0.000, 0.000, 0.500)

## Properties
The crystal system is tetragonal.

=====

InFeRe2 | PBE | relaxed

Cell lengths 4.271, 4.271, 6.805 Å; angles 90.00, 90.00, 90.00 degrees
Fractional positions:
In (0.000, 0.000, 0.000)
In (0.500, 0.500, 0.500)
Fe (0.000, 0.500, 0.250)
Fe (0.500, 0.000, 0.750)
Re (0.000, 0.000, 0.500)
Re (0.000, 0.500, 0.750)
Re (0.500, 0.000, 0.250)
Re (0.500, 0.500, 0.000)

## Properties
The crystal system is tetragonal.

=====

InFe2Re | PBE | relaxed

Cell lengths 2.745, 3.967, 5.461 Å; angles 90.00, 99.23, 90.00 degrees
Fractional positions:
In (0.000, 0.000, 0.000)
Fe (0.083, 0.000, 0.507)
Fe (0.427, 0.500, 0.744)
Re (0.601, 0.500, 0.317)

## Properties
The crystal system is monoclinic.

=====

In2FeRe | PBE | relaxed

Cell lengths 5.830, 8.254, 2.876 Å; angles 90.00, 90.00, 90.00 degrees
Fractional positions:
In (0.250, 0.250, 0.000)
In (0.250, 0.750, 0.000)
In (0.750, 0.250, 0.000)
In (0.750, 0.750, 0.000)
Fe (0.000, 0.000, 0.500)
Fe (0.500, 0.500, 0.500)
Re (0.000, 0.500, 0.500)
Re (0.500, 0.000, 0.500)

## Properties
The crystal system is orthorhombic. The calculation puts the energy above the most stable polymorph in this dataset at 6.03 kcal/mol of atoms.

=====

Number 1: N(E_F) 4.5 states/eV per cell, calculated density 12.21 g/cm3, energy relative to the elements 0.238 eV per atom. Number 2: N(E_F) 7.5 states/eV per cell, calculated density 14.53 g/cm3, energy relative to the elements 0.459 eV per atom. Number 3: N(E_F) 3.4 states/eV per cell, calculated density 11.67 g/cm3, energy relative to the elements 0.352 eV per atom. Number 4: N(E_F) 7.6 states/eV per cell, calculated density 11.32 g/cm3, energy relative to the elements 0.562 eV per atom.